Na3Tl3VO8: relaxed, PBE+U.

## Properties
Final energy = -5.0908 eV per atom
Crystal system = trigonal

Unit cell a=6.7182 b=6.7182 c=16.7267 alpha=90.00 beta=90.00 gamma=120.00
Space group R-3m (No. 166, hexagonal axes)
Symmetry-distinct sites (fractional):
Na 0.0000 0.5000 0.0000 x9
Tl 0.0000 0.5000 0.5000 x9
V 0.0000 0.0000 0.5000 x3
O 0.0000 0.0000 0.2403 x6
O 0.0580 0.5290 0.2333 x18